{"formula": "Fe2CuF8", "functional": "PBE+U", "state": "relaxed", "m_tot_mub_per_fu": 11.0, "mass_density_g_cm3": 2.990, "relative_energy_ev_per_atom": 0.1182, "crystal_system": "monoclinic", "dft_energy_ev_per_atom": -4.7393, "cell": [[-3.862, 0.741, -0.252], [-2.109, -3.771, 5.537], [-0.555, 4.315, 5.514]], "species": ["Fe", "Fe", "Cu", "F", "F", "F", "F", "F", "F", "F", "F"], "frac_coords": [[0.111, 0.738, 0.738], [0.889, 0.262, 0.262], [0.000, 0.000, 0.000], [0.954, 0.972, 0.284], [0.046, 0.716, 0.028], [0.606, 0.752, 0.752], [0.394, 0.248, 0.248], [0.954, 0.284, 0.972], [0.046, 0.028, 0.716], [0.208, 0.581, 0.581], [0.792, 0.419, 0.419]]}